First-principles (PBE) data for a relaxed K2SeO3 crystal, as listed in Alexandria.

## Properties
* E_tot: -0.164 Ha/atom
* calculated density: 2.27 g/cm³

abc: 7.230 7.230 7.533
angles: 104.07 104.07 119.57
Fractional coordinates of all 12 atoms:
K (0.276, 0.276, 0.000)
K (0.724, 0.724, 0.000)
K (0.750, 0.250, 0.500)
K (0.250, 0.750, 0.500)
O (0.540, 0.776, 0.316)
O (0.127, 0.127, 0.255)
O (0.460, 0.224, 0.684)
O (0.776, 0.540, 0.316)
O (0.224, 0.460, 0.684)
O (0.873, 0.873, 0.745)
Se (0.263, 0.263, 0.526)
Se (0.737, 0.737, 0.474)